Entry from Alexandria: crystalline SrVO3 at its relaxed geometry (PBE+U).

Magnetization: 1.00 μB per formula unit
Total energy: -7.174 eV per atom

Structure (CIF):
```
data_SrVO3
_chemical_formula_sum 'Sr8 V8 O24'
_space_group_name_H-M_alt 'C m c e'
_space_group_IT_number 64
_space_group_name_Hall '-C 2ac 2'
_cell_length_a 6.780
_cell_length_b 13.593
_cell_length_c 6.663
_cell_angle_alpha 90.00
_cell_angle_beta 90.00
_cell_angle_gamma 90.00
loop_
_atom_site_label
_atom_site_fract_x
_atom_site_fract_y
_atom_site_fract_z
Sr1 0.250 0.192 0.250
V1 0.000 0.089 0.631
O1 0.000 0.059 0.355
O2 0.000 0.225 0.546
O3 0.250 0.101 0.750
```